Entry 1:
The following is a DFT calculation (PBE) of a relaxed LaV2Ag crystal.

Results
Its space-group type is I-42d. The calculation puts the formation energy at 3.2 eV/f.u. As for the density of states at the Fermi level: 1.43 states/eV/atom. As for the relative energy among the computed polymorphs: 0.141 eV/atom.

Unit cell a=10.483 b=10.483 c=10.483 alpha=156.76 beta=156.76 gamma=33.09
Atoms (fractional coordinates):
La 0.000 0.000 0.000
La 0.750 0.250 0.500
V 0.220 0.625 0.095
V 0.375 0.470 0.595
V 0.530 0.125 0.905
V 0.875 0.780 0.405
Ag 0.250 0.750 0.500
Ag 0.500 0.500 0.000

=====

Entry 2:
The following is a DFT calculation (PBE) of a relaxed AlV3B crystal.

Results
Its space-group type is Pm-3m. The calculation puts the formation energy at -0.6 eV/f.u. As for the density of states at the Fermi level: 1.20 states/eV/atom. As for the relative energy among the computed polymorphs: 0.042 eV/atom.

Unit cell a=4.047 b=4.047 c=4.047 alpha=90.00 beta=90.00 gamma=90.00
Atoms (fractional coordinates):
Al 0.000 0.000 0.000
V 0.000 0.500 0.500
V 0.500 0.000 0.500
V 0.500 0.500 0.000
B 0.500 0.500 0.500

=====

Entry 3:
The following is a DFT calculation (PBE) of a relaxed NaNbO3 crystal.

Results
The formation energy (no corrections) comes out at -12.029 eV/f.u. Its space-group type is P4/mbm. As for the density of states at the Fermi level: 0.00 states/eV/atom.

Unit cell a=5.569 b=5.569 c=4.017 alpha=90.00 beta=90.00 gamma=90.00
Atoms (fractional coordinates):
Na 0.000 0.500 0.000
Na 0.500 0.000 0.000
Nb 0.000 0.000 0.500
Nb 0.500 0.500 0.500
O 0.000 0.000 0.000
O 0.198 0.302 0.500
O 0.302 0.802 0.500
O 0.500 0.500 0.000
O 0.698 0.198 0.500
O 0.802 0.698 0.500

=====

Entry 4:
The following is a DFT calculation (PBE) of a relaxed Ba3Tl8Pb crystal.

Results
Its space-group type is R3m. The calculation puts the formation energy at -2.9 eV/f.u. As for the density of states at the Fermi level: 0.50 states/eV/atom.

Unit cell a=11.754 b=11.754 c=11.754 alpha=32.31 beta=32.31 gamma=32.31
Atoms (fractional coordinates):
Ba 0.000 0.000 0.000
Ba 0.125 0.125 0.125
Ba 0.616 0.616 0.616
Tl 0.058 0.058 0.558
Tl 0.058 0.558 0.058
Tl 0.060 0.559 0.559
Tl 0.309 0.309 0.309
Tl 0.558 0.058 0.058
Tl 0.559 0.060 0.559
Tl 0.559 0.559 0.060
Tl 0.809 0.809 0.809
Pb 0.503 0.503 0.503